1.
# Pr2PuCrN4 (PBE-GGA, relaxed)
data_Pr2PuCrN4
_cell_length_a 3.4514
_cell_length_b 11.8364
_cell_length_c 12.3265
_cell_angle_alpha 90.00
_cell_angle_beta 90.00
_cell_angle_gamma 90.00
_space_group_name_H-M_alt 'C m c m'
_space_group_IT_number 63
_space_group_name_Hall '-C 2c 2'
loop_
_atom_site_label
_atom_site_fract_x
_atom_site_fract_y
_atom_site_fract_z
Pr1 0.0000 0.1328 0.0429
Pu1 0.0000 0.3923 0.2500
Cr1 0.0000 0.3314 0.7500
N1 0.0000 0.0866 0.2500
N2 0.0000 0.2249 0.6413
N3 0.0000 0.5000 0.0000
# D(E_F), states/eV/f.u.: 8.242
# Formation energy from raw total energies, eV/atom: -0.900
# Final energy, eV per atom: -9.25

2.
# ScInBr2 (PBE-GGA, relaxed)
data_ScInBr2
_cell_length_a 3.4980
_cell_length_b 5.6093
_cell_length_c 13.2805
_cell_angle_alpha 90.00
_cell_angle_beta 90.00
_cell_angle_gamma 90.00
_space_group_name_H-M_alt 'I m m m'
_space_group_IT_number 71
_space_group_name_Hall '-I 2 2'
loop_
_atom_site_label
_atom_site_fract_x
_atom_site_fract_y
_atom_site_fract_z
Sc1 0.0000 0.0000 0.0000
In1 0.0000 0.0000 0.5000
Br1 0.0000 0.5000 0.3437
# D(E_F), states/eV/f.u.: 2.392
# Formation energy from raw total energies, eV/atom: -0.893
# ΔE to the lowest computed polymorph, kJ/mol of formula units: 34
# Final energy, eV per atom: -4.00

3.
# LiTlTc2 (PBE-GGA, relaxed)
data_LiTlTc2
_cell_length_a 3.7113
_cell_length_b 3.7113
_cell_length_c 9.2988
_cell_angle_alpha 90.00
_cell_angle_beta 90.00
_cell_angle_gamma 90.00
_space_group_name_H-M_alt 'I 4/m m m'
_space_group_IT_number 139
_space_group_name_Hall '-I 4 2'
loop_
_atom_site_label
_atom_site_fract_x
_atom_site_fract_y
_atom_site_fract_z
Li1 0.0000 0.0000 0.0000
Tl1 0.0000 0.0000 0.5000
Tc1 0.0000 0.5000 0.2500
# Energy relative to the elements, eV per atom: 0.4507
# D(E_F), states/eV/f.u.: 4.746
# ΔE to the lowest computed polymorph, kJ/mol of formula units: 113
# Final energy, eV per atom: -5.80

4.
# BaAcAsH (PBE-GGA, relaxed)
data_BaAcAsH
_cell_length_a 5.0920
_cell_length_b 5.0920
_cell_length_c 9.2587
_cell_angle_alpha 90.00
_cell_angle_beta 90.00
_cell_angle_gamma 90.00
_space_group_name_H-M_alt 'P 4/n m m'
_space_group_IT_number 129
loop_
_space_group_symop_operation_xyz
'x,y,z'
'-x,-y,-z'
'-y+1/2,x,z'
'y+1/2,-x,-z'
'-x+1/2,-y+1/2,z'
'x+1/2,y+1/2,-z'
'y,-x+1/2,z'
'-y,x+1/2,-z'
'x+1/2,-y,-z'
'-x+1/2,y,z'
'-y,-x,-z'
'y,x,z'
'-x,y+1/2,-z'
'x,-y+1/2,z'
'y+1/2,x+1/2,-z'
'-y+1/2,-x+1/2,z'
loop_
_atom_site_label
_atom_site_fract_x
_atom_site_fract_y
_atom_site_fract_z
Ba1 0.2500 0.2500 0.1072
Ac1 0.2500 0.7500 0.5000
As1 0.2500 0.2500 0.7056
H1 0.2500 0.7500 0.0000
# D(E_F), states/eV/f.u.: 1.445
# ΔE to the lowest computed polymorph, kJ/mol of formula units: 0
# Final energy, eV per atom: -4.20

5.
# TaBe10Cu (PBE-GGA, relaxed)
data_TaBe10Cu
_cell_length_a 3.4679
_cell_length_b 4.2408
_cell_length_c 7.5596
_cell_angle_alpha 90.00
_cell_angle_beta 90.00
_cell_angle_gamma 90.00
_space_group_name_H-M_alt 'P m m m'
_space_group_IT_number 47
loop_
_space_group_symop_operation_xyz
'x,y,z'
'-x,-y,-z'
'-x,-y,z'
'x,y,-z'
'x,-y,-z'
'-x,y,z'
'-x,y,-z'
'x,-y,z'
loop_
_atom_site_label
_atom_site_fract_x
_atom_site_fract_y
_atom_site_fract_z
Ta1 0.0000 0.0000 0.0000
Be1 0.0000 0.0000 0.3399
Be2 0.0000 0.5000 0.1889
Be3 0.5000 0.0000 0.5000
Be4 0.5000 0.2388 0.2424
Be5 0.5000 0.5000 0.0000
Cu1 0.0000 0.5000 0.5000
# Energy relative to the elements, eV per atom: -0.1004
# D(E_F), states/eV/f.u.: 2.118
# Final energy, eV per atom: -4.53

6.
# Rb3Zn3Au2 (PBE-GGA, relaxed)
data_Rb3Zn3Au2
_cell_length_a 4.7423
_cell_length_b 13.0360
_cell_length_c 16.9460
_cell_angle_alpha 90.00
_cell_angle_beta 90.00
_cell_angle_gamma 90.00
_space_group_name_H-M_alt 'C m c m'
_space_group_IT_number 63
_space_group_name_Hall '-C 2c 2'
loop_
_atom_site_label
_atom_site_fract_x
_atom_site_fract_y
_atom_site_fract_z
Rb1 0.0000 0.0506 0.1053
Rb2 0.0000 0.3662 0.2500
Zn1 0.0000 0.3000 0.0406
Zn2 0.0000 0.3253 0.7500
Au1 0.0000 0.2372 0.6091
# Energy relative to the elements, eV per atom: -0.1412
# D(E_F), states/eV/f.u.: 3.438
# ΔE to the lowest computed polymorph, kJ/mol of formula units: 0
# Final energy, eV per atom: -1.80

7.
# LiHfGaIr (PBE-GGA, relaxed)
data_LiHfGaIr
_cell_length_a 6.2929
_cell_length_b 6.2929
_cell_length_c 6.2929
_cell_angle_alpha 90.00
_cell_angle_beta 90.00
_cell_angle_gamma 90.00
_space_group_name_H-M_alt 'F -4 3 m'
_space_group_IT_number 216
_space_group_name_Hall 'F -4 2 3'
loop_
_atom_site_label
_atom_site_fract_x
_atom_site_fract_y
_atom_site_fract_z
Li1 0.0000 0.0000 0.0000
Hf1 0.2500 0.2500 0.2500
Ga1 0.2500 0.2500 0.7500
Ir1 0.0000 0.0000 0.5000
# Energy relative to the elements, eV per atom: -0.6649
# D(E_F), states/eV/f.u.: 3.101
# Final energy, eV per atom: -6.60

8.
# Pu3Co2H7 (PBE-GGA, relaxed)
data_Pu3Co2H7
_cell_length_a 3.5399
_cell_length_b 3.5399
_cell_length_c 19.0845
_cell_angle_alpha 90.00
_cell_angle_beta 90.00
_cell_angle_gamma 90.00
_space_group_name_H-M_alt 'I 4/m m m'
_space_group_IT_number 139
_space_group_name_Hall '-I 4 2'
loop_
_atom_site_label
_atom_site_fract_x
_atom_site_fract_y
_atom_site_fract_z
Pu1 0.0000 0.0000 0.0000
Pu2 0.0000 0.0000 0.1825
Co1 0.0000 0.0000 0.4040
H1 0.0000 0.0000 0.3149
H2 0.0000 0.0000 0.5000
H3 0.0000 0.5000 0.0921
# D(E_F), states/eV/f.u.: 29.362
# Final energy, eV per atom: -6.96